No. 1
Tm2Fe17C3 | meta-GGA SCAN | PBEsol geometry Values from VASP.

Structure (Quantum ESPRESSO input):
```
&SYSTEM
  ibrav = 0, nat = 44, ntyp = 3
/
ATOMIC_SPECIES
Tm 168.93 Tm.upf
Fe 55.84 Fe.upf
C 12.01 C.upf
ATOMIC_POSITIONS angstrom
Tm 2.040 0.000 4.864
Tm 6.119 4.213 2.432
Tm 2.040 0.000 0.000
Tm 6.119 0.000 0.000
Fe 2.040 5.364 4.518
Fe 6.119 -1.152 2.779
Fe 2.040 5.443 0.392
Fe 6.119 1.230 6.904
Fe 6.119 -1.230 6.904
Fe 2.040 2.982 0.392
Fe 2.040 1.831 2.387
Fe 6.119 -2.382 4.910
Fe 6.119 2.382 4.910
Fe 2.040 6.594 2.387
Fe 6.119 1.152 2.779
Fe 2.040 3.061 4.518
Fe 7.289 0.000 4.864
Fe 0.870 4.213 2.432
Fe 3.210 4.213 2.432
Fe 4.949 0.000 4.864
Fe 3.913 2.097 6.075
Fe 4.246 2.116 1.221
Fe 3.913 0.000 2.443
Fe 7.993 2.116 1.221
Fe 4.246 4.213 4.853
Fe 0.166 2.097 6.075
Fe 3.913 -2.097 6.075
Fe 7.993 4.213 4.853
Fe 4.246 6.309 1.221
Fe 0.166 0.000 2.443
Fe 7.993 6.309 1.221
Fe 0.166 -2.097 6.075
Fe 4.080 -2.106 3.648
Fe 4.080 4.213 0.000
Fe 0.000 -2.106 3.648
Fe 4.080 2.106 3.648
Fe 0.000 4.213 0.000
Fe 0.000 2.106 3.648
C 2.040 2.123 6.090
C 6.119 2.089 1.206
C 2.040 0.000 2.412
C 6.119 4.213 4.884
C 2.040 -2.123 6.090
C 6.119 6.336 1.206
CELL_PARAMETERS angstrom
8.159 0.000 0.000
0.000 8.425 0.000
0.000 -4.213 7.296
```

Properties
* DFT formation energy: -0.09 eV per atom
* crystal system: hexagonal
* uncorrected energy: -20.189 eV per atom

=====

No. 2
Tm2Fe17C3 | meta-GGA SCAN | PBEsol geometry Values from VASP.

Structure (Quantum ESPRESSO input):
```
&SYSTEM
  ibrav = 0, nat = 22, ntyp = 3
/
ATOMIC_SPECIES
Tm 168.93 Tm.upf
Fe 55.84 Fe.upf
C 12.01 C.upf
ATOMIC_POSITIONS angstrom
Tm 5.180 4.590 4.121
Tm 2.699 2.392 2.147
Fe 0.384 3.148 0.002
Fe 0.384 0.341 3.129
Fe 3.171 0.003 0.002
Fe 2.342 0.490 4.493
Fe 4.769 1.781 0.005
Fe 0.769 4.711 1.770
Fe 2.342 4.520 0.005
Fe 0.769 2.266 4.493
Fe 4.769 0.196 1.770
Fe 3.110 5.596 2.167
Fe 3.110 2.755 5.331
Fe 5.930 2.414 2.167
Fe 4.770 1.386 4.101
Fe 4.770 4.226 0.937
Fe 1.950 4.568 4.101
Fe 7.123 6.312 5.667
Fe 0.756 0.670 0.602
C 3.555 0.343 3.132
C 3.555 3.150 0.005
C 0.769 3.488 3.132
CELL_PARAMETERS angstrom
6.342 0.005 0.005
0.769 6.295 0.005
0.769 0.681 6.258
```

Properties
* DFT formation energy: -0.09 eV per atom
* crystal system: trigonal
* uncorrected energy: -20.184 eV per atom

=====

No. 3
V3Fe3C | meta-GGA SCAN | PBEsol geometry Values from VASP.

Structure (Quantum ESPRESSO input):
```
&SYSTEM
  ibrav = 0, nat = 28, ntyp = 3
/
ATOMIC_SPECIES
V 50.94 V.upf
Fe 55.84 Fe.upf
C 12.01 C.upf
ATOMIC_POSITIONS angstrom
V -1.526 -5.918 8.531
V -1.031 -1.884 7.868
V -2.844 -3.499 9.476
V 0.286 -4.303 6.923
V -2.594 -3.999 6.618
V 0.036 -3.803 9.781
V -1.671 -3.835 11.968
V -2.166 -7.868 12.630
V -0.353 -6.253 11.023
V -3.483 -5.450 13.576
V -0.603 -5.753 13.880
V -3.233 -5.950 10.718
Fe -0.320 -0.975 2.050
Fe -0.641 -0.333 5.724
Fe 1.053 -3.442 4.509
Fe -2.650 -3.052 4.117
Fe -2.354 -7.181 15.095
Fe -1.916 -8.058 10.085
Fe -4.226 -3.818 11.742
Fe 0.823 -4.349 12.276
Fe -0.843 -2.571 5.404
Fe -0.638 -2.980 3.066
Fe -1.716 -1.001 3.840
Fe 0.640 -1.249 4.089
C -1.599 -4.876 10.249
C -1.277 -5.519 6.575
C -2.971 -2.409 7.791
C 0.731 -2.799 8.183
CELL_PARAMETERS angstrom
-4.660 -4.154 4.134
2.745 -4.933 4.918
-0.643 1.285 7.348
```

Properties
* DFT formation energy: -0.21 eV per atom
* crystal system: cubic
* uncorrected energy: -16.914 eV per atom